DFT (PBE) results for TlCd2Hg6 after structural relaxation.

Unit cell a=16.199 b=9.309 c=3.208 alpha=90.00 beta=101.42 gamma=90.00
Space group C2/m (No. 12)
Unique sites:
Tl1 0.000 0.000 0.000 x2
Cd1 0.155 0.500 0.157 x4
Hg1 0.000 0.331 0.500 x4
Hg2 0.174 0.170 0.673 x8

- volume (Å³/cell) = 474.16
- final energy (eV per atom) = -0.653
- excess energy over the best structure of this formula in the dataset (meV/atom) = 0.0
- ΔH_f (0 K) (eV per atom) = 0.0146